Entry A
VASP calculation (PBE-GGA) on a relaxed Cr2Fe2Au crystal.

The structure belongs to space group P4/mbm (No. 127); the cell edges are 6.8541, 6.8541 and 2.6367 Å and the angles 90.00°, 90.00° and 90.00°. The asymmetric unit holds Cr at (0.1609, 0.3391, 0.0000), Fe at (0.1293, 0.6293, 0.5000) and Au at (0.0000, 0.0000, 0.5000).

For the density, the calculation gives 11.06 Mg/m³. For the total magnetization, the calculation gives 0.059 μB per formula unit.


Entry B
VASP calculation (PBE-GGA) on a relaxed Cr2Fe2Au crystal.

The structure belongs to space group P4/mbm (No. 127); the cell edges are 6.9278, 6.9278 and 2.6104 Å and the angles 90.00°, 90.00° and 90.00°. The asymmetric unit holds Cr at (0.1188, 0.3812, 0.0000), Fe at (0.1687, 0.6687, 0.5000) and Au at (0.0000, 0.0000, 0.0000).

For the density, the calculation gives 10.94 Mg/m³. For the total magnetization, the calculation gives 0.000 μB per formula unit.


The structure with the most favorable energy is entry A; the runner-up is 88 meV per atom above it.


Entry A
VASP calculation (PBE-GGA) on a relaxed Cr2Ga2Au crystal.

The structure belongs to space group P4/mbm (No. 127); the cell edges are 7.1095, 7.1095 and 3.0729 Å and the angles 90.00°, 90.00° and 90.00°. The asymmetric unit holds Cr at (0.1604, 0.3396, 0.0000), Ga at (0.1365, 0.6365, 0.5000) and Au at (0.0000, 0.0000, 0.5000).

For the density, the calculation gives 9.42 Mg/m³. For the total magnetization, the calculation gives 6.118 μB per formula unit.


Entry B
VASP calculation (PBE-GGA) on a relaxed Cr2Ga2Au crystal.

The structure belongs to space group P4/mbm (No. 127); the cell edges are 6.8716, 6.8716 and 3.1616 Å and the angles 90.00°, 90.00° and 90.00°. The asymmetric unit holds Cr at (0.1047, 0.3953, 0.0000), Ga at (0.1882, 0.6882, 0.5000) and Au at (0.0000, 0.0000, 0.0000).

For the density, the calculation gives 9.80 Mg/m³. For the total magnetization, the calculation gives 0.000 μB per formula unit.


The structure with the most favorable energy is entry A; the runner-up is 22 meV per atom above it.


Entry A
VASP calculation (PBE-GGA) on a relaxed TlCrGa2Au crystal.

The structure belongs to space group P4/mmm (No. 123); the cell edges are 5.2997, 5.2997 and 5.2823 Å and the angles 90.00°, 90.00° and 90.00°. The asymmetric unit holds Tl at (0.0000, 0.0000, 0.0000), Cr at (0.5000, 0.5000, 0.5000), Ga at (0.0000, 0.5000, 0.0000) and Au at (0.0000, 0.0000, 0.5000).

For the density, the calculation gives 6.63 Mg/m³. For the total magnetization, the calculation gives 4.929 μB per formula unit.


Entry B
VASP calculation (PBE-GGA) on a relaxed TlCrGa2Au crystal.

The structure belongs to space group P4/mmm (No. 123); the cell edges are 4.9033, 4.9033 and 5.2947 Å and the angles 90.00°, 90.00° and 90.00°. The asymmetric unit holds Tl at (0.0000, 0.0000, 0.0000), Cr at (0.5000, 0.5000, 0.0000), Ga at (0.0000, 0.5000, 0.5000) and Au at (0.5000, 0.5000, 0.5000).

For the density, the calculation gives 7.73 Mg/m³. For the total magnetization, the calculation gives 4.478 μB per formula unit.


The structure with the most favorable energy is entry B; the runner-up is 616 meV per atom above it.


Entry A
VASP calculation (PBE-GGA) on a relaxed Cr2Ge2Au crystal.

The structure belongs to space group P4/mbm (No. 127); the cell edges are 7.0703, 7.0703 and 2.9572 Å and the angles 90.00°, 90.00° and 90.00°. The asymmetric unit holds Cr at (0.1104, 0.3896, 0.0000), Ge at (0.1801, 0.6801, 0.5000) and Au at (0.0000, 0.0000, 0.0000).

For the density, the calculation gives 10.03 Mg/m³. For the total magnetization, the calculation gives 0.000 μB per formula unit.


Entry B
VASP calculation (PBE-GGA) on a relaxed Cr2Ge2Au crystal.

The structure belongs to space group P4/mbm (No. 127); the cell edges are 7.3197, 7.3197 and 2.8666 Å and the angles 90.00°, 90.00° and 90.00°. The asymmetric unit holds Cr at (0.1405, 0.3595, 0.0000), Ge at (0.1568, 0.6568, 0.5000) and Au at (0.0000, 0.0000, 0.5000).

For the density, the calculation gives 9.65 Mg/m³. For the total magnetization, the calculation gives 4.841 μB per formula unit.


The structure with the most favorable energy is entry B; the runner-up is 20 meV per atom above it.


Entry A
VASP calculation (PBE-GGA) on a relaxed CrGeAu3 crystal.

The structure belongs to space group Pm-3m (No. 221); the cell edges are 4.8559, 4.8559 and 4.8559 Å and the angles 90.00°, 90.00° and 90.00°. The asymmetric unit holds Cr at (0.0000, 0.0000, 0.0000), Ge at (0.5000, 0.5000, 0.5000) and Au at (0.0000, 0.5000, 0.5000).

For the density, the calculation gives 10.38 Mg/m³. For the total magnetization, the calculation gives 4.855 μB per formula unit.


Entry B
VASP calculation (PBE-GGA) on a relaxed CrGeAu3 crystal.

The structure belongs to space group Pm-3m (No. 221); the cell edges are 4.8344, 4.8344 and 4.8344 Å and the angles 90.00°, 90.00° and 90.00°. The asymmetric unit holds Cr at (0.0000, 0.0000, 0.0000), Ge at (0.5000, 0.5000, 0.5000) and Au at (0.0000, 0.0000, 0.5000).

For the density, the calculation gives 10.52 Mg/m³. For the total magnetization, the calculation gives 0.000 μB per formula unit.


The structure with the most favorable energy is entry A; the runner-up is 479 meV per atom above it.


Entry A
VASP calculation (PBE-GGA) on a relaxed CrGeMo2Au crystal.

The structure belongs to space group P4/mmm (No. 123); the cell edges are 4.4373, 4.4373 and 4.8929 Å and the angles 90.00°, 90.00° and 90.00°. The asymmetric unit holds Cr at (0.0000, 0.0000, 0.0000), Ge at (0.5000, 0.5000, 0.5000), Mo at (0.0000, 0.5000, 0.0000) and Au at (0.0000, 0.0000, 0.5000).

For the density, the calculation gives 8.85 Mg/m³. For the total magnetization, the calculation gives 0.001 μB per formula unit.


Entry B
VASP calculation (PBE-GGA) on a relaxed CrGeMo2Au crystal.

The structure belongs to space group P4/mmm (No. 123); the cell edges are 4.6412, 4.6412 and 4.5577 Å and the angles 90.00°, 90.00° and 90.00°. The asymmetric unit holds Cr at (0.0000, 0.0000, 0.0000), Ge at (0.5000, 0.5000, 0.5000), Mo at (0.0000, 0.5000, 0.5000) and Au at (0.5000, 0.5000, 0.0000).

For the density, the calculation gives 8.68 Mg/m³. For the total magnetization, the calculation gives 0.826 μB per formula unit.


The structure with the most favorable energy is entry A; the runner-up is 404 meV per atom above it.


Entry A
VASP calculation (PBE-GGA) on a relaxed Cr2HAu crystal.

The structure belongs to space group Fm-3m (No. 225); the cell edges are 5.8592, 5.8592 and 5.8592 Å and the angles 90.00°, 90.00° and 90.00°. The asymmetric unit holds Cr at (0.2500, 0.2500, 0.2500), H at (0.0000, 0.0000, 0.0000) and Au at (0.0000, 0.0000, 0.5000).

For the density, the calculation gives 9.97 Mg/m³. For the total magnetization, the calculation gives 0.004 μB per formula unit.


Entry B
VASP calculation (PBE-GGA) on a relaxed Cr2HAu crystal.

The structure belongs to space group I4_1/amd (No. 141, origin choice 2); the cell edges are 5.0955, 5.0955 and 7.1841 Å and the angles 90.00°, 90.00° and 90.00°. The asymmetric unit holds Cr at (0.0000, 0.0000, 0.0000), H at (0.0000, 0.2500, 0.8750) and Au at (0.0000, 0.2500, 0.3750).

For the density, the calculation gives 10.75 Mg/m³. For the total magnetization, the calculation gives 0.000 μB per formula unit.


The structure with the most favorable energy is entry B; the runner-up is 555 meV per atom above it.


Entry A
VASP calculation (PBE-GGA) on a relaxed CrHAu crystal.

The structure belongs to space group P3m1 (No. 156); the cell edges are 3.0041, 3.0041 and 4.5333 Å and the angles 90.00°, 90.00° and 120.00°. The asymmetric unit holds Cr at (0.0000, 0.0000, 0.0000), H at (0.3333, 0.6667, 0.9925) and Au at (0.6667, 0.3333, 0.4984).

For the density, the calculation gives 11.72 Mg/m³. For the total magnetization, the calculation gives 2.923 μB per formula unit.


Entry B
VASP calculation (PBE-GGA) on a relaxed CrHAu crystal.

The structure belongs to space group Pnma (No. 62); the cell edges are 5.2636, 3.2110 and 8.5851 Å and the angles 90.00°, 90.00° and 90.00°. The asymmetric unit holds Cr at (0.1153, 0.2500, 0.0517), H at (0.0190, 0.7500, 0.1331) and Au at (0.0917, 0.2500, 0.3585).

For the density, the calculation gives 11.44 Mg/m³. For the total magnetization, the calculation gives 0.000 μB per formula unit.


The structure with the most favorable energy is entry A; the runner-up is 60 meV per atom above it.